Entry 1:
## Be2CuNi (PBE)

Data for a relaxed structure of Be2CuNi.

spin magnetization = 0.00 μB/cell
energy = -4.548 eV/atom
energy of formation from the pure elements = -0.22 eV per atom
DOS at the Fermi energy = 0.4179 states/eV per atom

a = 8.245 Å, b = 2.508 Å, c = 3.871 Å
α = 90.00°, β = 109.37°, γ = 90.00°
Space group Cm (No. 8)
Inequivalent atoms, fractional coordinates:
Be  0.000  0.000  0.000 x2
Be  0.234  0.500  0.338 x2
Cu  0.481  0.000  0.491 x2
Ni  0.256  0.000  0.854 x2

Entry 2:
## BaBe2AlBi (PBE)

Data for a relaxed structure of BaBe2AlBi.

spin magnetization = 0.00 μB/cell
energy = -1.679 eV/atom
energy of formation from the pure elements = 1.72 eV per atom
DOS at the Fermi energy = 0.3730 states/eV per atom

a = 5.202 Å, b = 5.202 Å, c = 5.775 Å
α = 90.00°, β = 90.00°, γ = 90.00°
Space group P4/mmm (No. 123)
Inequivalent atoms, fractional coordinates:
Ba  0.000  0.000  0.000 x1
Be  0.000  0.500  0.000 x2
Al  0.000  0.000  0.500 x1
Bi  0.500  0.500  0.500 x1

Look up the energy of formation from the pure elements of the second one. 1.72 eV per atom

Copy entry 1 word for word.
## Be2CuNi (PBE)

Data for a relaxed structure of Be2CuNi.

spin magnetization = 0.00 μB/cell
energy = -4.548 eV/atom
energy of formation from the pure elements = -0.22 eV per atom
DOS at the Fermi energy = 0.4179 states/eV per atom

a = 8.245 Å, b = 2.508 Å, c = 3.871 Å
α = 90.00°, β = 109.37°, γ = 90.00°
Space group Cm (No. 8)
Inequivalent atoms, fractional coordinates:
Be  0.000  0.000  0.000 x2
Be  0.234  0.500  0.338 x2
Cu  0.481  0.000  0.491 x2
Ni  0.256  0.000  0.854 x2